Entry 1:
# KRb2Pd

A relaxed structure of KRb2Pd (PBE, Alexandria).

Structure (CIF):
```
data_KRb2Pd
_chemical_formula_sum 'K1 Rb2 Pd1'
_space_group_name_H-M_alt 'P 1'
_space_group_IT_number 1
_cell_length_a 4.308
_cell_length_b 4.308
_cell_length_c 14.472
_cell_angle_alpha 81.44
_cell_angle_beta 81.44
_cell_angle_gamma 60.00
loop_
_space_group_symop_operation_xyz
'x,y,z'
loop_
_atom_site_label
_atom_site_type_symbol
_atom_site_fract_x
_atom_site_fract_y
_atom_site_fract_z
Pd1 Pd 0.000 0.000 0.000
Rb1 Rb 0.069 0.069 0.794
Rb2 Rb 0.931 0.931 0.206
K1 K 0.500 0.500 0.500
```

Summary:
Energy (eV/atom): -1.573
Energy of formation from the pure elements (kJ/mol of atoms): 47
Space group: R-3m, No. 166

=====

Entry 2:
# LiAc2S3

A relaxed structure of LiAc2S3 (PBE, Alexandria).

Structure (CIF):
```
data_LiAc2S3
_chemical_formula_sum 'Li1 Ac2 S3'
_space_group_name_H-M_alt 'P 1'
_space_group_IT_number 1
_cell_length_a 4.082
_cell_length_b 4.579
_cell_length_c 8.588
_cell_angle_alpha 105.46
_cell_angle_beta 103.75
_cell_angle_gamma 90.00
loop_
_space_group_symop_operation_xyz
'x,y,z'
loop_
_atom_site_label
_atom_site_type_symbol
_atom_site_fract_x
_atom_site_fract_y
_atom_site_fract_z
Ac1 Ac 0.360 0.360 0.719
Ac2 Ac 0.640 0.640 0.281
S1 S 0.000 0.500 0.000
S2 S 0.170 0.170 0.341
S3 S 0.830 0.830 0.659
Li1 Li 0.000 0.000 0.000
```

Summary:
Energy (eV/atom): -5.674
Relative energy among the computed polymorphs (meV per atom): 0
Space group: Immm, No. 71

=====

Entry 3:
# Tm4ScS5

A relaxed structure of Tm4ScS5 (PBE, Alexandria).

Structure (CIF):
```
data_Tm4ScS5
_chemical_formula_sum 'Tm4 Sc1 S5'
_space_group_name_H-M_alt 'P 1'
_space_group_IT_number 1
_cell_length_a 3.815
_cell_length_b 3.815
_cell_length_c 13.773
_cell_angle_alpha 97.96
_cell_angle_beta 97.96
_cell_angle_gamma 90.00
loop_
_space_group_symop_operation_xyz
'x,y,z'
loop_
_atom_site_label
_atom_site_type_symbol
_atom_site_fract_x
_atom_site_fract_y
_atom_site_fract_z
Tm1 Tm 0.598 0.598 0.197
Tm2 Tm 0.402 0.402 0.803
Tm3 Tm 0.201 0.201 0.402
Tm4 Tm 0.799 0.799 0.598
S1 S 0.301 0.301 0.602
S2 S 0.500 0.500 0.000
S3 S 0.699 0.699 0.398
S4 S 0.901 0.901 0.803
S5 S 0.099 0.099 0.197
Sc1 Sc 0.000 0.000 0.000
```

Summary:
Energy (eV/atom): -6.394
Space group: I4/mmm, No. 139

=====

Entry 4:
# CaHf2S

A relaxed structure of CaHf2S (PBE, Alexandria).

Structure (CIF):
```
data_CaHf2S
_chemical_formula_sum 'Ca2 Hf4 S2'
_space_group_name_H-M_alt 'P 1'
_space_group_IT_number 1
_cell_length_a 5.216
_cell_length_b 5.216
_cell_length_c 9.582
_cell_angle_alpha 74.21
_cell_angle_beta 74.21
_cell_angle_gamma 90.00
loop_
_space_group_symop_operation_xyz
'x,y,z'
loop_
_atom_site_label
_atom_site_type_symbol
_atom_site_fract_x
_atom_site_fract_y
_atom_site_fract_z
S1 S 0.250 0.750 0.500
S2 S 0.500 0.500 0.000
Hf1 Hf 0.340 0.625 0.250
Hf2 Hf 0.375 0.590 0.750
Hf3 Hf 0.875 0.660 0.750
Hf4 Hf 0.410 0.125 0.250
Ca1 Ca 0.000 0.000 0.000
Ca2 Ca 0.750 0.250 0.500
```

Summary:
Energy (eV/atom): -6.280
Space group: I-42d, No. 122

=====

Entry 5:
# Sm5Cu5Ni2

A relaxed structure of Sm5Cu5Ni2 (PBE, Alexandria).

Structure (CIF):
```
data_Sm5Cu5Ni2
_chemical_formula_sum 'Sm5 Cu5 Ni2'
_space_group_name_H-M_alt 'P 1'
_space_group_IT_number 1
_cell_length_a 3.981
_cell_length_b 7.881
_cell_length_c 8.484
_cell_angle_alpha 86.46
_cell_angle_beta 76.43
_cell_angle_gamma 75.37
loop_
_space_group_symop_operation_xyz
'x,y,z'
loop_
_atom_site_label
_atom_site_type_symbol
_atom_site_fract_x
_atom_site_fract_y
_atom_site_fract_z
Ni1 Ni 0.386 0.467 0.760
Ni2 Ni 0.614 0.533 0.240
Sm1 Sm 0.617 0.084 0.681
Sm2 Sm 0.303 0.305 0.090
Sm3 Sm 0.000 0.500 0.500
Sm4 Sm 0.383 0.916 0.319
Sm5 Sm 0.697 0.695 0.910
Cu1 Cu 0.716 0.223 0.346
Cu2 Cu 0.932 0.302 0.833
Cu3 Cu 0.000 0.000 0.000
Cu4 Cu 0.068 0.698 0.167
Cu5 Cu 0.284 0.777 0.654
```

Summary:
Energy (eV/atom): -4.870
Energy of formation from the pure elements (kJ/mol of atoms): -23
Space group: C2/m, No. 12

=====

Entry 6:
# CrAu

A relaxed structure of CrAu (PBE, Alexandria).

Structure (CIF):
```
data_CrAu
_chemical_formula_sum 'Cr2 Au2'
_space_group_name_H-M_alt 'P 1'
_space_group_IT_number 1
_cell_length_a 3.094
_cell_length_b 4.845
_cell_length_c 4.652
_cell_angle_alpha 90.00
_cell_angle_beta 90.00
_cell_angle_gamma 90.00
loop_
_space_group_symop_operation_xyz
'x,y,z'
loop_
_atom_site_label
_atom_site_type_symbol
_atom_site_fract_x
_atom_site_fract_y
_atom_site_fract_z
Cr1 Cr 0.500 0.000 0.522
Cr2 Cr 0.000 0.500 0.311
Au1 Au 0.000 0.000 0.032
Au2 Au 0.500 0.500 0.801
```

Summary:
Energy (eV/atom): -6.031
Energy of formation from the pure elements (kJ/mol of atoms): 40
Space group: Pmmn, No. 59

=====

Entry 7:
# LiCa2GaO4

A relaxed structure of LiCa2GaO4 (PBE, Alexandria).

Structure (CIF):
```
data_LiCa2GaO4
_chemical_formula_sum 'Li2 Ca4 Ga2 O8'
_space_group_name_H-M_alt 'P 1'
_space_group_IT_number 1
_cell_length_a 6.353
_cell_length_b 6.353
_cell_length_c 6.568
_cell_angle_alpha 121.11
_cell_angle_beta 121.11
_cell_angle_gamma 86.91
loop_
_space_group_symop_operation_xyz
'x,y,z'
loop_
_atom_site_label
_atom_site_type_symbol
_atom_site_fract_x
_atom_site_fract_y
_atom_site_fract_z
O1 O 0.774 0.225 0.000
O2 O 0.241 0.260 0.483
O3 O 0.275 0.726 0.500
O4 O 0.725 0.274 0.500
O5 O 0.240 0.259 0.017
O6 O 0.760 0.741 0.983
O7 O 0.226 0.775 0.000
O8 O 0.759 0.740 0.517
Li1 Li 0.000 0.500 0.000
Li2 Li 0.000 0.500 0.500
Ga1 Ga 0.000 0.000 0.000
Ga2 Ga 0.500 0.500 0.500
Ca1 Ca 0.500 0.000 0.500
Ca2 Ca 0.500 0.000 0.000
Ca3 Ca 0.500 0.500 0.000
Ca4 Ca 0.000 0.000 0.500
```

Summary:
Energy (eV/atom): -5.909
Space group: Imma, No. 74

=====

Entry 8:
# NpP2Rh5

A relaxed structure of NpP2Rh5 (PBE, Alexandria).

Structure (CIF):
```
data_NpP2Rh5
_chemical_formula_sum 'Np1 P2 Rh5'
_space_group_name_H-M_alt 'P 1'
_space_group_IT_number 1
_cell_length_a 3.894
_cell_length_b 6.089
_cell_length_c 6.089
_cell_angle_alpha 68.02
_cell_angle_beta 71.35
_cell_angle_gamma 71.35
loop_
_space_group_symop_operation_xyz
'x,y,z'
loop_
_atom_site_label
_atom_site_type_symbol
_atom_site_fract_x
_atom_site_fract_y
_atom_site_fract_z
Np1 Np 0.000 0.000 0.000
Rh1 Rh 0.647 0.555 0.151
Rh2 Rh 0.000 0.500 0.500
Rh3 Rh 0.647 0.151 0.555
Rh4 Rh 0.353 0.445 0.849
Rh5 Rh 0.353 0.849 0.445
P1 P 0.753 0.747 0.747
P2 P 0.247 0.253 0.253
```

Summary:
Energy (eV/atom): -8.226
Energy of formation from the pure elements (kJ/mol of atoms): -64
Space group: Immm, No. 71

=====

Entry 9:
# BePb2Br

A relaxed structure of BePb2Br (PBE, Alexandria).

Structure (CIF):
```
data_BePb2Br
_chemical_formula_sum 'Be1 Pb2 Br1'
_space_group_name_H-M_alt 'P 1'
_space_group_IT_number 1
_cell_length_a 5.270
_cell_length_b 5.270
_cell_length_c 5.270
_cell_angle_alpha 60.00
_cell_angle_beta 60.00
_cell_angle_gamma 60.00
loop_
_space_group_symop_operation_xyz
'x,y,z'
loop_
_atom_site_label
_atom_site_type_symbol
_atom_site_fract_x
_atom_site_fract_y
_atom_site_fract_z
Br1 Br 0.500 0.500 0.500
Pb1 Pb 0.750 0.750 0.750
Pb2 Pb 0.250 0.250 0.250
Be1 Be 0.000 0.000 0.000
```

Summary:
Energy (eV/atom): -2.747
Relative energy among the computed polymorphs (meV per atom): 345
Space group: Fm-3m, No. 225

=====

Entry 10:
# TaCuMo2

A relaxed structure of TaCuMo2 (PBE, Alexandria).

Structure (CIF):
```
data_TaCuMo2
_chemical_formula_sum 'Ta1 Cu1 Mo2'
_space_group_name_H-M_alt 'P 1'
_space_group_IT_number 1
_cell_length_a 9.687
_cell_length_b 9.687
_cell_length_c 9.687
_cell_angle_alpha 16.50
_cell_angle_beta 16.50
_cell_angle_gamma 16.50
loop_
_space_group_symop_operation_xyz
'x,y,z'
loop_
_atom_site_label
_atom_site_type_symbol
_atom_site_fract_x
_atom_site_fract_y
_atom_site_fract_z
Cu1 Cu 0.750 0.750 0.750
Mo1 Mo 0.005 0.005 0.005
Mo2 Mo 0.495 0.495 0.495
Ta1 Ta 0.250 0.250 0.250
```

Summary:
Energy (eV/atom): -9.029
Energy of formation from the pure elements (kJ/mol of atoms): 36
Relative energy among the computed polymorphs (meV per atom): 303
Space group: R-3m, No. 166

=====

Entry 11:
# Ba8Sr2Tl

A relaxed structure of Ba8Sr2Tl (PBE, Alexandria).

Structure (CIF):
```
data_Ba8Sr2Tl
_chemical_formula_sum 'Ba8 Sr2 Tl1'
_space_group_name_H-M_alt 'P 1'
_space_group_IT_number 1
_cell_length_a 6.095
_cell_length_b 6.095
_cell_length_c 17.389
_cell_angle_alpha 90.00
_cell_angle_beta 90.00
_cell_angle_gamma 90.00
loop_
_space_group_symop_operation_xyz
'x,y,z'
loop_
_atom_site_label
_atom_site_type_symbol
_atom_site_fract_x
_atom_site_fract_y
_atom_site_fract_z
Ba1 Ba 0.000 0.500 0.884
Ba2 Ba 0.500 0.000 0.500
Ba3 Ba 0.500 0.000 0.884
Ba4 Ba 0.000 0.500 0.500
Ba5 Ba 0.500 0.000 0.116
Ba6 Ba 0.500 0.500 0.686
Ba7 Ba 0.000 0.500 0.116
Ba8 Ba 0.500 0.500 0.314
Sr1 Sr 0.000 0.000 0.691
Sr2 Sr 0.000 0.000 0.309
Tl1 Tl 0.000 0.000 0.000
```

Summary:
Energy (eV/atom): -1.961
Energy of formation from the pure elements (kJ/mol of atoms): -4
Relative energy among the computed polymorphs (meV per atom): 0
Space group: P4/mmm, No. 123

=====

Entry 12:
# LiY2TlH

A relaxed structure of LiY2TlH (PBE, Alexandria).

Structure (CIF):
```
data_LiY2TlH
_chemical_formula_sum 'Li1 Y2 Tl1 H1'
_space_group_name_H-M_alt 'P 1'
_space_group_IT_number 1
_cell_length_a 4.912
_cell_length_b 4.912
_cell_length_c 4.227
_cell_angle_alpha 90.00
_cell_angle_beta 90.00
_cell_angle_gamma 90.00
loop_
_space_group_symop_operation_xyz
'x,y,z'
loop_
_atom_site_label
_atom_site_type_symbol
_atom_site_fract_x
_atom_site_fract_y
_atom_site_fract_z
Li1 Li 0.000 0.000 0.500
Tl1 Tl 0.500 0.500 0.500
Y1 Y 0.000 0.500 0.000
Y2 Y 0.500 0.000 0.000
H1 H 0.000 0.000 0.000
```

Summary:
Energy (eV/atom): -4.463
Space group: P4/mmm, No. 123

=====

DOS at the Fermi energy for the records above, in order: 2.307 1.296 3.980 2.742 7.315 5.765 0.000 9.691 3.817 5.008 15.893 2.699 states/eV/cell